Compound: Ho2ZrBi
Source: Alexandria via LeMat-Bulk
Functional: PBE
Structure: optimized geometry

Summary:
ΔE_f = -0.2602 eV/atom
DFT total energy = -22.63 eV for the cell shown
Distance to the lowest polymorph of the same formula = 0.0 meV/atom
Space-group type = P4/mmm (123)

Lattice parameters (Å, degrees): 3.992 3.992 6.923 90.00 90.00 90.00
Sites, in units of the cell vectors:
Ho: 0.000 0.000 0.247
Ho: 0.000 0.000 0.753
Zr: 0.500 0.500 0.500
Bi: 0.500 0.500 0.000